## Ag2BrCl (meta-GGA SCAN)

Data for a PBEsol-optimized structure of Ag2BrCl.

Results
Volume: 215 Å³/cell
Energy: -22.966 eV per atom
Space-group type: I-42d (122)
Total magnetization: 0.0 μB/cell
Raw formation energy: -0.423 eV per atom
ρ: 5.11 g/cm³
Energy relative to the lowest polymorph listed for this composition: 35 meV/atom

POSCAR file:
```
Ag2BrCl
1.0
-3.003 3.003 5.962
3.003 -3.003 5.962
3.003 3.003 -5.962
Ag Br Cl
4 2 2
Direct
0.110 0.625 0.985
0.375 0.360 0.485
0.640 0.125 0.015
0.875 0.890 0.515
0.250 0.750 0.500
0.500 0.500 0.000
0.000 0.000 0.000
0.750 0.250 0.500
```